# AcTb6Nd8 (PBE, relaxed)
data_AcTb6Nd8
_space_group_name_H-M_alt 'P 1'
_space_group_IT_number 1
_space_group_name_Hall 'P 1'
_cell_length_a 9.4280
_cell_length_b 9.4280
_cell_length_c 8.7281
_cell_angle_alpha 57.31
_cell_angle_beta 57.31
_cell_angle_gamma 60.00
loop_
_atom_site_label
_atom_site_fract_x
_atom_site_fract_y
_atom_site_fract_z
Ac1 0.0000 0.0000 0.0000
Tb1 0.4522 0.8938 0.9224
Tb2 0.1062 0.2684 0.0776
Tb3 0.2684 0.5478 0.0776
Tb4 0.7316 0.4522 0.9224
Tb5 0.8938 0.7316 0.9224
Tb6 0.5478 0.1062 0.0776
Nd1 0.3444 0.2254 0.5135
Nd2 0.7746 0.0833 0.4865
Nd3 0.0833 0.6556 0.4865
Nd4 0.5725 0.5725 0.2825
Nd5 0.4275 0.4275 0.7175
Nd6 0.9167 0.3444 0.5135
Nd7 0.2254 0.9167 0.5135
Nd8 0.6556 0.7746 0.4865
# Calculated volume, Å³/cell: 525
# Symmetry: R-3, No. 148
# Energy of formation, kJ/mol of atoms: 15

=====

# Ac5TbNd6 (PBE, relaxed)
data_Ac5TbNd6
_space_group_name_H-M_alt 'P 1'
_space_group_IT_number 1
_space_group_name_Hall 'P 1'
_cell_length_a 5.4220
_cell_length_b 10.0622
_cell_length_c 10.0622
_cell_angle_alpha 107.53
_cell_angle_beta 105.65
_cell_angle_gamma 105.65
loop_
_atom_site_label
_atom_site_fract_x
_atom_site_fract_y
_atom_site_fract_z
Nd1 0.2474 0.0825 0.4123
Nd2 0.7526 0.5877 0.9175
Nd3 0.7470 0.2469 0.2469
Nd4 0.2530 0.7531 0.7531
Nd5 0.2474 0.4123 0.0825
Nd6 0.7526 0.9175 0.5877
Ac1 0.5000 0.1623 0.8377
Ac2 0.0000 0.3328 0.6672
Ac3 0.5000 0.5000 0.5000
Ac4 0.0000 0.6672 0.3328
Ac5 0.5000 0.8377 0.1623
Tb1 0.0000 0.0000 0.0000
# Calculated volume, Å³/cell: 466
# Symmetry: Immm, No. 71
# Energy of formation, kJ/mol of atoms: 3